{"formula": "Sc2TiOs2", "functional": "PBE", "state": "optimized geometry", "cell": [[6.6480, 0.0000, 0.0000], [0.0000, 6.6480, 0.0000], [0.0000, 0.0000, 4.2085]], "species": ["Sc", "Sc", "Sc", "Sc", "Ti", "Ti", "Os", "Os", "Os", "Os"], "fractional_positions": [[0.1765, 0.3235, 0.0000], [0.3235, 0.8235, 0.0000], [0.6765, 0.1765, 0.0000], [0.8235, 0.6765, 0.0000], [0.0000, 0.0000, 0.5000], [0.5000, 0.5000, 0.5000], [0.1315, 0.6315, 0.5000], [0.3685, 0.1315, 0.5000], [0.6315, 0.8685, 0.5000], [0.8685, 0.3685, 0.5000]], "delta_e_f_ev_per_atom": -0.28, "final_energy_ev_per_atom": -8.888}

***

{"formula": "SrHoRe2N6", "functional": "PBE", "state": "optimized geometry", "cell": [[5.6732, -5.0449, 0.0000], [5.6732, 5.0449, 0.0000], [-2.5000, 0.0000, 5.9565]], "species": ["Sr", "Sr", "Ho", "Ho", "Re", "Re", "Re", "Re", "N", "N", "N", "N", "N", "N", "N", "N", "N", "N", "N", "N"], "fractional_positions": [[0.0925, 0.9075, 0.7500], [0.9075, 0.0925, 0.2500], [0.2975, 0.7025, 0.2500], [0.7025, 0.2975, 0.7500], [0.2056, 0.3763, 0.8021], [0.3763, 0.2056, 0.3021], [0.6237, 0.7944, 0.6979], [0.7944, 0.6237, 0.1979], [0.0024, 0.7515, 0.3141], [0.1569, 0.6177, 0.8641], [0.2485, 0.9976, 0.1859], [0.3209, 0.3572, 0.0983], [0.3572, 0.3209, 0.5983], [0.3823, 0.8431, 0.6359], [0.6177, 0.1569, 0.3641], [0.6428, 0.6791, 0.4017], [0.6791, 0.6428, 0.9017], [0.7515, 0.0024, 0.8141], [0.8431, 0.3823, 0.1359], [0.9976, 0.2485, 0.6859]], "final_energy_ev_per_atom": -8.684, "formation_energy_uncorrected_ev_per_atom": -0.5731}

***

{"formula": "Nd4Dy2Tl3H2", "functional": "PBE", "state": "optimized geometry", "cell": [[-2.4149, 2.4149, 12.6527], [2.4149, -2.4149, 12.6527], [2.4149, 2.4149, -12.6527]], "species": ["Nd", "Nd", "Nd", "Nd", "Dy", "Dy", "Tl", "Tl", "Tl", "H", "H"], "fractional_positions": [[0.0870, 0.5870, 0.5000], [0.4130, 0.9130, 0.5000], [0.5870, 0.0870, 0.5000], [0.9130, 0.4130, 0.5000], [0.2004, 0.2004, 0.0000], [0.7996, 0.7996, 0.0000], [0.3229, 0.3229, 0.0000], [0.5000, 0.5000, 0.0000], [0.6771, 0.6771, 0.0000], [0.1086, 0.1086, 0.0000], [0.8914, 0.8914, 0.0000]], "final_energy_ev_per_atom": -4.086}

***

{"formula": "CsRb2TiF6", "functional": "PBE", "state": "optimized geometry", "cell": [[6.1900, 0.0000, 0.0000], [0.0000, 9.4612, 0.0000], [0.0000, 0.0000, 7.6704]], "species": ["Cs", "Cs", "Rb", "Rb", "Rb", "Rb", "Ti", "Ti", "F", "F", "F", "F", "F", "F", "F", "F", "F", "F", "F", "F"], "fractional_positions": [[0.2500, 0.2500, 0.1761], [0.7500, 0.7500, 0.8239], [0.2500, 0.0392, 0.6686], [0.2500, 0.4608, 0.6686], [0.7500, 0.5392, 0.3314], [0.7500, 0.9608, 0.3314], [0.2500, 0.7500, 0.3126], [0.7500, 0.2500, 0.6874], [0.0170, 0.7500, 0.1365], [0.0304, 0.7500, 0.5051], [0.2500, 0.5364, 0.3165], [0.2500, 0.9636, 0.3165], [0.4696, 0.7500, 0.5051], [0.4830, 0.7500, 0.1365], [0.5170, 0.2500, 0.8635], [0.5304, 0.2500, 0.4949], [0.7500, 0.0364, 0.6835], [0.7500, 0.4636, 0.6835], [0.9696, 0.2500, 0.4949], [0.9830, 0.2500, 0.8635]], "final_energy_ev_per_atom": -5.211, "formation_energy_uncorrected_ev_per_atom": -3.0195}